1.
Material: NdAl4Ag2Pt
Method: DFT, PBE-GGA
State: optimized geometry

abc: 4.3998 4.3998 27.0567
angles: 90.00 90.00 120.00
Space group R-3m (No. 166, hexagonal axes)
Symmetry-distinct sites (fractional):
1 Nd 0.0000 0.0000 0.0000
2 Al 0.0000 0.0000 0.1335
3 Al 0.0000 0.0000 0.4042
4 Ag 0.0000 0.0000 0.2463
5 Pt 0.0000 0.0000 0.5000

Summary:
The formation energy from the elements comes out at -452 meV per atom. The total moment comes out at 0.0 Bohr magnetons per cell. For the density of states at the Fermi level, the calculation gives 0.378 states/eV per atom.

---

2.
Material: MgPaCdHg
Method: DFT, PBE-GGA
State: optimized geometry

abc: 7.248 7.248 7.248
angles: 90.00 90.00 90.00
Space group F-43m (No. 216)
Symmetry-distinct sites (fractional):
1 Mg 0.000 0.000 0.000
2 Pa 0.000 0.000 0.500
3 Cd 0.250 0.250 0.750
4 Hg 0.250 0.250 0.250

Summary:
The formation energy from the elements comes out at 41 meV per atom. The total moment comes out at 4.0 Bohr magnetons per cell. For the density of states at the Fermi level, the calculation gives 1.238 states/eV per atom.